Crystalline La2TmNpP4 at its relaxed geometry. Source: the Alexandria database, functional PBE.

Values from the calculation:
- energy of formation from the pure elements (meV/atom) = -1376
- crystal system = monoclinic

Lattice parameters (Å, degrees): 4.100 7.092 7.140 109.27 90.00 90.00
Each line ends with the local moment (μB).
Positions (direct):
1 La 0.000 0.500 0.500  0.03
2 Np 0.000 0.000 0.000  3.49
3 Tm 0.500 0.500 0.000  0.01
4 P 0.500 0.759 0.772  -0.07
5 P 0.000 0.746 0.230  -0.04
6 P 0.500 0.241 0.228  -0.07
7 La 0.500 0.000 0.500  0.03
8 P 0.000 0.254 0.770  -0.04